A plane-wave DFT calculation with GGA+U was carried out for crystalline Mn2SeF at its relaxed geometry.

## Properties
**Magnetization**: 9.9 μB/f.u.
**ΔE to the lowest computed polymorph**: 0 meV per atom
**SG**: I-42d, No. 122
**DOS(E_F)**: 2.67 states/eV/f.u.

a b c (Å): 5.4307 5.4307 11.6948
angles (deg): 90.00 90.00 90.00
Last column: nearest neighbours and their distance in Å.
Sites, in units of the cell vectors:
Mn: 0.1969 0.2500 0.1250  2 F 2.26
Mn: 0.2500 0.6969 0.3750  2 F 2.26
Mn: 0.2500 0.8031 0.8750  2 F 2.26
Mn: 0.3031 0.2500 0.6250  2 F 2.26
Mn: 0.6969 0.7500 0.6250  2 F 2.26
Mn: 0.7500 0.1969 0.8750  2 F 2.26
Mn: 0.7500 0.3031 0.3750  2 F 2.26
Mn: 0.8031 0.7500 0.1250  2 F 2.26
Se: 0.0000 0.0000 0.5000  4 Mn 2.59
Se: 0.0000 0.5000 0.7500  4 Mn 2.59
Se: 0.5000 0.0000 0.2500  4 Mn 2.59
Se: 0.5000 0.5000 0.0000  4 Mn 2.59
F: 0.0000 0.0000 0.0000  4 Mn 2.26
F: 0.0000 0.5000 0.2500  4 Mn 2.26
F: 0.5000 0.0000 0.7500  4 Mn 2.26
F: 0.5000 0.5000 0.5000  4 Mn 2.26